First-principles (PBE) data for crystalline Mg2TaAu at its relaxed geometry, as listed in Alexandria via LeMat-Bulk.

As for the total energy: -18.1 eV per cell. As for the energy above the lowest structure with this stoichiometry: 145 meV per atom. As for the total moment: 0.000 μB per atom. The value obtained for the formation energy is 0.18 eV per formula unit.

Unit cell a=2.933 b=4.497 c=5.908 alpha=90.00 beta=104.19 gamma=90.00
Space group Pm (No. 6)
One atom of each set of equivalent atoms:
Mg: 0.000 0.000 0.000 (multiplicity 1)
Mg: 0.390 0.500 0.768 (multiplicity 1)
Ta: 0.643 0.500 0.289 (multiplicity 1)
Au: 0.239 0.000 0.490 (multiplicity 1)

---

First-principles (PBE) data for crystalline YTmCo at its relaxed geometry, as listed in Alexandria via LeMat-Bulk.

As for the total energy: -74.1 eV per cell. As for the energy above the lowest structure with this stoichiometry: 0 meV per atom. As for the total moment: 0.000 μB per atom. The value obtained for the formation energy is -0.48 eV per formula unit.

Unit cell a=13.140 b=3.642 c=6.767 alpha=90.00 beta=116.60 gamma=90.00
Space group C2/m (No. 12)
One atom of each set of equivalent atoms:
Y: 0.221 0.000 0.253 (multiplicity 4)
Tm: 0.013 0.500 0.747 (multiplicity 4)
Co: 0.110 0.000 0.560 (multiplicity 4)

---

no.,volume (Å³ per cell)
1,76
2,290